1.
Here is a crystal of Zr2TlCl relaxed with PBEsol from Alexandria via LeMat-Bulk. Energies are from SCAN.

POSCAR file:
```
Zr2TlCl
1.0
11.878 0.000 0.000
0.000 3.234 0.000
-1.832 0.000 4.307
Zr Tl Cl
4 2 2
direct
0.000 0.000 0.000
0.234 0.000 0.741
0.500 0.500 0.000
0.734 0.500 0.741
0.440 0.000 0.442
0.940 0.500 0.442
0.181 0.500 0.191
0.681 0.000 0.191
```

Computed properties:
- distance to the lowest polymorph of the same formula (eV/atom) = 0.133
- mass density (Mg/m³) = 8.476
- formation energy without anion corrections (eV/atom) = -0.381
- space-group type = Cm, No. 8
- DOS(E_F) (states/eV per cell) = 5.907

***

2.
Here is a crystal of Zr2TlCl relaxed with PBEsol from Alexandria via LeMat-Bulk. Energies are from SCAN.

POSCAR file:
```
Zr2TlCl
1.0
3.189 0.000 0.000
-1.594 2.762 0.000
0.000 0.000 27.381
Zr Tl Cl
6 3 3
direct
0.000 0.000 0.242
0.000 0.000 0.758
0.333 0.667 0.424
0.333 0.667 0.909
0.667 0.333 0.091
0.667 0.333 0.576
0.000 0.000 0.000
0.333 0.667 0.667
0.667 0.333 0.333
0.000 0.000 0.500
0.333 0.667 0.167
0.667 0.333 0.833
```

Computed properties:
- distance to the lowest polymorph of the same formula (eV/atom) = 0.000
- mass density (Mg/m³) = 8.724
- formation energy without anion corrections (eV/atom) = -0.514
- space-group type = R-3m, No. 166
- DOS(E_F) (states/eV per cell) = 9.829

***

3.
Here is a crystal of Zr2TlCl relaxed with PBEsol from Alexandria via LeMat-Bulk. Energies are from SCAN.

POSCAR file:
```
Zr2TlCl
1.0
3.177 0.000 0.000
0.000 3.177 0.000
0.000 0.000 7.579
Zr Tl Cl
2 1 1
direct
0.000 0.000 0.222
0.000 0.000 0.778
0.500 0.500 0.500
0.500 0.500 0.000
```

Computed properties:
- distance to the lowest polymorph of the same formula (eV/atom) = 0.041
- mass density (Mg/m³) = 9.164
- formation energy without anion corrections (eV/atom) = -0.473
- space-group type = P4/mmm, No. 123
- DOS(E_F) (states/eV per cell) = 1.376